First-principles (GGA-PBE) data for crystalline LiPdW2 at its relaxed geometry, as listed in the Alexandria database.

D(E_F) (states/eV/cell): 16.04
E_tot (Ha/atom): -0.2747
Calculated formation energy (eV/f.u.): 3.1
Magnetization (μB/atom): 0.000

a = 6.208 Å, b = 6.208 Å, c = 6.208 Å
α = 90.00°, β = 90.00°, γ = 90.00°
Space group Fm-3m (No. 225)
One atom of each set of equivalent atoms:
1 Li 0.000 0.000 0.000 [4 per cell]
2 Pd 0.000 0.000 0.500 [4 per cell]
3 W 0.250 0.250 0.250 [8 per cell]